Density functional theory data (GGA-PBE) for an optimized crystal structure of CeY2Ru2.

Values from the calculation:
For the formation energy from the elements, the calculation gives -0.4320 eV per atom. For the energy above the most stable polymorph in this dataset, the calculation gives 0.00 eV per formula unit. The value obtained for the total moment is 0.000 Bohr magnetons per cell.

a b c (Å): 4.1854 5.8758 5.8758
angles (deg): 60.81 69.14 69.14
Closest atoms and distances in Å follow each position.
Sites, in units of the cell vectors:
1 Ce 0.5000 0.5000 0.0000  4 Ru 2.60
2 Y 0.6920 0.8080 0.3080  6 Ru 3.09-3.23, 2 Ce 3.46
3 Y 0.3080 0.1920 0.6920  6 Ru 3.09-3.23, 2 Ce 3.46
4 Ru 0.0000 0.2411 0.2589  2 Ce 2.60, 1 Ru 2.87
5 Ru 0.0000 0.7589 0.7411  2 Ce 2.60, 1 Ru 2.87